Material: CaDyCu
Method: DFT, PBE
State: relaxed

a b c (Å): 3.550 3.550 12.699
angles (deg): 90.00 90.00 90.00
Space group I4mm (No. 107)
Unique sites:
Ca  0.000  0.000  0.000 (multiplicity 2)
Dy  0.000  0.000  0.268 (multiplicity 2)
Cu  0.000  0.000  0.652 (multiplicity 2)

Properties
Calculated formation energy   -80 meV per atom



Material: CsRb2TmBr6
Method: DFT, PBE
State: relaxed

a b c (Å): 8.235 8.770 14.295
angles (deg): 90.00 124.60 90.00
Space group P2_1/c (No. 14)
Unique sites:
Cs  0.000  0.000  0.000 (multiplicity 2)
Rb  0.213  0.077  0.745 (multiplicity 4)
Tm  0.500  0.000  0.500 (multiplicity 2)
Br  0.170  0.170  0.440 (multiplicity 4)
Br  0.267  0.737  0.418 (multiplicity 4)
Br  0.424  0.060  0.287 (multiplicity 4)

Properties
Formation energy without anion corrections   -1840.1 meV per atom



Material: CsKCa
Method: DFT, PBE
State: relaxed

a b c (Å): 4.4525 4.4525 11.6188
angles (deg): 90.00 90.00 120.00
Space group P3m1 (No. 156)
Unique sites:
Cs  0.0000  0.0000  0.0000 (multiplicity 1)
K  0.6667  0.3333  0.3740 (multiplicity 1)
Ca  0.3333  0.6667  0.6744 (multiplicity 1)

Properties
Calculated formation energy   189 meV per atom



Material: TlCuIr2
Method: DFT, PBE
State: relaxed

a b c (Å): 6.339 6.339 6.339
angles (deg): 90.00 90.00 90.00
Space group Fm-3m (No. 225)
Unique sites:
Tl  0.000  0.000  0.000 (multiplicity 4)
Cu  0.000  0.000  0.500 (multiplicity 4)
Ir  0.250  0.250  0.250 (multiplicity 8)

Properties
Calculated formation energy   509 meV per atom